A relaxed structure of AgH3N. Source: the Alexandria database, functional PBE-GGA.

Results
Fermi-level density of states: 0.19 states/eV/atom
Total moment: 2.56 μB per formula unit
Offset from the most stable computed form: 1640 meV/atom

Structure (CIF):
```
data_AgH3N
_cell_length_a 3.618
_cell_length_b 3.618
_cell_length_c 3.618
_cell_angle_alpha 90.00
_cell_angle_beta 90.00
_cell_angle_gamma 90.00
_symmetry_space_group_name_H-M 'P 1'
_symmetry_Int_Tables_number 1
loop_
_symmetry_equiv_pos_as_xyz
'x,y,z'
loop_
_atom_site_label
_atom_site_fract_x
_atom_site_fract_y
_atom_site_fract_z
H1 0.000 0.500 0.000
H2 0.000 0.000 0.500
H3 0.500 0.000 0.000
Ag1 0.000 0.000 0.000
N1 0.500 0.500 0.500
```

---

A relaxed structure of Pd3N. Source: the Alexandria database, functional PBE-GGA.

Results
Fermi-level density of states: 1.43 states/eV/atom
Raw formation energy: 128 kJ/mol of atoms
Total moment: 0.00 μB per formula unit

Structure (CIF):
```
data_Pd3N
_cell_length_a 4.857
_cell_length_b 4.857
_cell_length_c 4.857
_cell_angle_alpha 90.00
_cell_angle_beta 90.00
_cell_angle_gamma 90.00
_symmetry_space_group_name_H-M 'P 1'
_symmetry_Int_Tables_number 1
loop_
_symmetry_equiv_pos_as_xyz
'x,y,z'
loop_
_atom_site_label
_atom_site_fract_x
_atom_site_fract_y
_atom_site_fract_z
Pd1 0.000 0.500 0.750
Pd2 0.500 0.250 0.000
Pd3 0.750 0.000 0.500
Pd4 0.000 0.500 0.250
Pd5 0.500 0.750 0.000
Pd6 0.250 0.000 0.500
N1 0.500 0.500 0.500
N2 0.000 0.000 0.000
```

---

A relaxed structure of ZrFeSeBr2. Source: the Alexandria database, functional PBE-GGA.

Results
Fermi-level density of states: 1.16 states/eV/atom
Raw formation energy: 25 kJ/mol of atoms
Total moment: 0.00 μB per formula unit
Offset from the most stable computed form: 299 meV/atom

Structure (CIF):
```
data_ZrFeSeBr2
_cell_length_a 4.688
_cell_length_b 4.688
_cell_length_c 4.815
_cell_angle_alpha 90.00
_cell_angle_beta 90.00
_cell_angle_gamma 90.00
_symmetry_space_group_name_H-M 'P 1'
_symmetry_Int_Tables_number 1
loop_
_symmetry_equiv_pos_as_xyz
'x,y,z'
loop_
_atom_site_label
_atom_site_fract_x
_atom_site_fract_y
_atom_site_fract_z
Se1 0.000 0.000 0.500
Br1 0.000 0.500 0.000
Br2 0.500 0.000 0.000
Zr1 0.500 0.500 0.500
Fe1 0.000 0.000 0.000
```

---

A relaxed structure of Ti3Ga4Ni. Source: the Alexandria database, functional PBE-GGA.

Results
Fermi-level density of states: 0.78 states/eV/atom
Total moment: 0.00 μB per formula unit
Energy: -5.54 eV per atom

Structure (CIF):
```
data_Ti3Ga4Ni
_cell_length_a 5.278
_cell_length_b 5.224
_cell_length_c 9.058
_cell_angle_alpha 90.00
_cell_angle_beta 90.00
_cell_angle_gamma 90.00
_symmetry_space_group_name_H-M 'P 1'
_symmetry_Int_Tables_number 1
loop_
_symmetry_equiv_pos_as_xyz
'x,y,z'
loop_
_atom_site_label
_atom_site_fract_x
_atom_site_fract_y
_atom_site_fract_z
Ti1 0.617 0.900 0.000
Ti2 0.945 0.634 0.262
Ti3 0.445 0.366 0.238
Ti4 0.117 0.100 0.500
Ti5 0.445 0.366 0.762
Ti6 0.945 0.634 0.738
Ga1 0.125 0.833 0.000
Ga2 0.742 0.418 0.000
Ga3 0.954 0.138 0.209
Ga4 0.454 0.862 0.291
Ga5 0.242 0.582 0.500
Ga6 0.625 0.167 0.500
Ga7 0.454 0.862 0.709
Ga8 0.954 0.138 0.791
Ni1 0.234 0.363 0.000
Ni2 0.734 0.637 0.500
```

---

A relaxed structure of Ce2Pm2Pt15. Source: the Alexandria database, functional PBE-GGA.

Results
Fermi-level density of states: 1.04 states/eV/atom
Total moment: 0.70 μB per formula unit
Energy: -6.61 eV per atom

Structure (CIF):
```
data_Ce2Pm2Pt15
_cell_length_a 7.133
_cell_length_b 7.133
_cell_length_c 7.133
_cell_angle_alpha 82.21
_cell_angle_beta 82.21
_cell_angle_gamma 82.21
_symmetry_space_group_name_H-M 'P 1'
_symmetry_Int_Tables_number 1
loop_
_symmetry_equiv_pos_as_xyz
'x,y,z'
loop_
_atom_site_label
_atom_site_fract_x
_atom_site_fract_y
_atom_site_fract_z
Ce1 0.100 0.100 0.100
Ce2 0.900 0.900 0.900
Pm1 0.360 0.360 0.360
Pm2 0.640 0.640 0.640
Pt1 0.500 0.000 0.000
Pt2 0.000 0.000 0.500
Pt3 0.000 0.500 0.000
Pt4 0.000 0.681 0.319
Pt5 0.681 0.319 0.000
Pt6 0.319 0.000 0.681
Pt7 0.319 0.681 0.000
Pt8 0.681 0.000 0.319
Pt9 0.000 0.319 0.681
Pt10 0.164 0.656 0.656
Pt11 0.656 0.656 0.164
Pt12 0.656 0.164 0.656
Pt13 0.836 0.344 0.344
Pt14 0.344 0.344 0.836
Pt15 0.344 0.836 0.344
```

---

A relaxed structure of Ca8Hg2Pb. Source: the Alexandria database, functional PBE-GGA.

Results
Fermi-level density of states: 0.57 states/eV/atom
Total moment: 0.00 μB per formula unit
Energy: -2.20 eV per atom

Structure (CIF):
```
data_Ca8Hg2Pb
_cell_length_a 5.452
_cell_length_b 7.606
_cell_length_c 9.933
_cell_angle_alpha 112.55
_cell_angle_beta 105.92
_cell_angle_gamma 90.00
_symmetry_space_group_name_H-M 'P 1'
_symmetry_Int_Tables_number 1
loop_
_symmetry_equiv_pos_as_xyz
'x,y,z'
loop_
_atom_site_label
_atom_site_fract_x
_atom_site_fract_y
_atom_site_fract_z
Ca1 0.637 0.252 0.909
Ca2 0.976 0.025 0.588
Ca3 0.297 0.346 0.230
Ca4 0.743 0.945 0.121
Ca5 0.348 0.857 0.331
Ca6 0.925 0.435 0.487
Ca7 0.137 0.552 0.909
Ca8 0.530 0.733 0.697
Hg1 0.798 0.603 0.232
Hg2 0.475 0.281 0.587
Pb1 0.136 0.973 0.909
```

---

A relaxed structure of Pm2ScNi4Ge3. Source: the Alexandria database, functional PBE-GGA.

Results
Fermi-level density of states: 0.80 states/eV/atom
Total moment: 0.00 μB per formula unit
Energy: -5.95 eV per atom

Structure (CIF):
```
data_Pm2ScNi4Ge3
_cell_length_a 4.152
_cell_length_b 4.152
_cell_length_c 10.072
_cell_angle_alpha 90.00
_cell_angle_beta 90.00
_cell_angle_gamma 90.00
_symmetry_space_group_name_H-M 'P 1'
_symmetry_Int_Tables_number 1
loop_
_symmetry_equiv_pos_as_xyz
'x,y,z'
loop_
_atom_site_label
_atom_site_fract_x
_atom_site_fract_y
_atom_site_fract_z
Pm1 0.500 0.000 0.231
Pm2 0.000 0.500 0.769
Sc1 0.500 0.500 0.500
Ni1 0.500 0.500 0.000
Ni2 0.000 0.000 0.000
Ni3 0.500 0.000 0.645
Ni4 0.000 0.500 0.355
Ge1 0.000 0.000 0.500
Ge2 0.500 0.000 0.878
Ge3 0.000 0.500 0.122
```

---

A relaxed structure of MnRu2Rh. Source: the Alexandria database, functional PBE-GGA.

Results
Fermi-level density of states: 1.41 states/eV/atom
Total moment: 2.51 μB per formula unit
Energy: -8.71 eV per atom

Structure (CIF):
```
data_MnRu2Rh
_cell_length_a 2.700
_cell_length_b 2.700
_cell_length_c 7.500
_cell_angle_alpha 90.00
_cell_angle_beta 90.00
_cell_angle_gamma 90.00
_symmetry_space_group_name_H-M 'P 1'
_symmetry_Int_Tables_number 1
loop_
_symmetry_equiv_pos_as_xyz
'x,y,z'
loop_
_atom_site_label
_atom_site_fract_x
_atom_site_fract_y
_atom_site_fract_z
Mn1 0.000 0.000 0.498
Rh1 0.500 0.500 0.745
Ru1 0.000 0.000 0.004
Ru2 0.500 0.500 0.253
```

---

A relaxed structure of BiSbPd2. Source: the Alexandria database, functional PBE-GGA.

Results
Fermi-level density of states: 0.70 states/eV/atom
Raw formation energy: -35 kJ/mol of atoms
Total moment: 0.00 μB per formula unit

Structure (CIF):
```
data_BiSbPd2
_cell_length_a 4.228
_cell_length_b 4.228
_cell_length_c 5.736
_cell_angle_alpha 90.00
_cell_angle_beta 90.00
_cell_angle_gamma 120.00
_symmetry_space_group_name_H-M 'P 1'
_symmetry_Int_Tables_number 1
loop_
_symmetry_equiv_pos_as_xyz
'x,y,z'
loop_
_atom_site_label
_atom_site_fract_x
_atom_site_fract_y
_atom_site_fract_z
Sb1 0.000 0.000 0.000
Bi1 0.333 0.667 0.500
Pd1 0.667 0.333 0.757
Pd2 0.667 0.333 0.243
```

---

A relaxed structure of Ta5Mo. Source: the Alexandria database, functional PBE-GGA.

Results
Fermi-level density of states: 1.28 states/eV/atom
Total moment: 0.00 μB per formula unit
Offset from the most stable computed form: 367 meV/atom

Structure (CIF):
```
data_Ta5Mo
_cell_length_a 4.962
_cell_length_b 4.962
_cell_length_c 5.141
_cell_angle_alpha 90.00
_cell_angle_beta 90.00
_cell_angle_gamma 120.00
_symmetry_space_group_name_H-M 'P 1'
_symmetry_Int_Tables_number 1
loop_
_symmetry_equiv_pos_as_xyz
'x,y,z'
loop_
_atom_site_label
_atom_site_fract_x
_atom_site_fract_y
_atom_site_fract_z
Ta1 0.667 0.000 0.000
Ta2 0.333 0.333 0.000
Ta3 0.000 0.667 0.000
Ta4 0.667 0.333 0.500
Ta5 0.333 0.667 0.500
Mo1 0.000 0.000 0.500
```

---

A relaxed structure of ZrTe2I. Source: the Alexandria database, functional PBE-GGA.

Results
Fermi-level density of states: 0.44 states/eV/atom
Raw formation energy: -1 kJ/mol of atoms
Total moment: 0.00 μB per formula unit
Offset from the most stable computed form: 543 meV/atom

Structure (CIF):
```
data_ZrTe2I
_cell_length_a 5.365
_cell_length_b 5.365
_cell_length_c 5.365
_cell_angle_alpha 60.00
_cell_angle_beta 60.00
_cell_angle_gamma 60.00
_symmetry_space_group_name_H-M 'P 1'
_symmetry_Int_Tables_number 1
loop_
_symmetry_equiv_pos_as_xyz
'x,y,z'
loop_
_atom_site_label
_atom_site_fract_x
_atom_site_fract_y
_atom_site_fract_z
I1 0.500 0.500 0.500
Te1 0.250 0.250 0.250
Te2 0.750 0.750 0.750
Zr1 0.000 0.000 0.000
```

---

A relaxed structure of Sm2ThOs. Source: the Alexandria database, functional PBE-GGA.

Results
Fermi-level density of states: 1.12 states/eV/atom
Total moment: 0.00 μB per formula unit
Offset from the most stable computed form: 0 meV/atom

Structure (CIF):
```
data_Sm2ThOs
_cell_length_a 6.509
_cell_length_b 7.345
_cell_length_c 9.744
_cell_angle_alpha 90.00
_cell_angle_beta 90.00
_cell_angle_gamma 90.00
_symmetry_space_group_name_H-M 'P 1'
_symmetry_Int_Tables_number 1
loop_
_symmetry_equiv_pos_as_xyz
'x,y,z'
loop_
_atom_site_label
_atom_site_fract_x
_atom_site_fract_y
_atom_site_fract_z
Sm1 0.171 0.674 0.067
Sm2 0.329 0.174 0.433
Sm3 0.829 0.326 0.567
Sm4 0.671 0.826 0.933
Sm5 0.829 0.326 0.933
Sm6 0.671 0.826 0.567
Sm7 0.171 0.674 0.433
Sm8 0.329 0.174 0.067
Th1 0.658 0.548 0.250
Th2 0.842 0.048 0.250
Th3 0.342 0.452 0.750
Th4 0.158 0.952 0.750
Os1 0.032 0.372 0.250
Os2 0.468 0.872 0.250
Os3 0.968 0.628 0.750
Os4 0.532 0.128 0.750
```

---

A relaxed structure of CaReTe2. Source: the Alexandria database, functional PBE-GGA.

Results
Fermi-level density of states: 0.86 states/eV/atom
Raw formation energy: 7 kJ/mol of atoms
Total moment: 0.00 μB per formula unit
Offset from the most stable computed form: 287 meV/atom

Structure (CIF):
```
data_CaReTe2
_cell_length_a 6.406
_cell_length_b 6.406
_cell_length_c 8.061
_cell_angle_alpha 66.59
_cell_angle_beta 66.59
_cell_angle_gamma 90.00
_symmetry_space_group_name_H-M 'P 1'
_symmetry_Int_Tables_number 1
loop_
_symmetry_equiv_pos_as_xyz
'x,y,z'
loop_
_atom_site_label
_atom_site_fract_x
_atom_site_fract_y
_atom_site_fract_z
Re1 0.000 0.000 0.000
Re2 0.750 0.250 0.500
Ca1 0.500 0.500 0.000
Ca2 0.250 0.750 0.500
Te1 0.692 0.125 0.250
Te2 0.058 0.625 0.250
Te3 0.375 0.308 0.750
Te4 0.875 0.942 0.750
```

---

A relaxed structure of Rb2HfB2S6. Source: the Alexandria database, functional PBE-GGA.

Results
Raw formation energy: -89 kJ/mol of atoms
Total moment: 0.00 μB per formula unit

Structure (CIF):
```
data_Rb2HfB2S6
_cell_length_a 6.570
_cell_length_b 6.532
_cell_length_c 8.164
_cell_angle_alpha 111.97
_cell_angle_beta 90.00
_cell_angle_gamma 120.19
_symmetry_space_group_name_H-M 'P 1'
_symmetry_Int_Tables_number 1
loop_
_symmetry_equiv_pos_as_xyz
'x,y,z'
loop_
_atom_site_label
_atom_site_fract_x
_atom_site_fract_y
_atom_site_fract_z
Rb1 0.702 0.405 0.169
Rb2 0.298 0.595 0.831
Hf1 0.500 0.000 0.500
B1 0.921 0.843 0.691
B2 0.079 0.157 0.309
S1 0.747 0.495 0.633
S2 0.218 0.965 0.258
S3 0.253 0.035 0.742
S4 0.782 0.035 0.742
S5 0.747 0.965 0.258
S6 0.253 0.505 0.367
```

---

A relaxed structure of V6Ga5Si. Source: the Alexandria database, functional PBE-GGA.

Results
Fermi-level density of states: 0.68 states/eV/atom
Raw formation energy: -18 kJ/mol of atoms
Total moment: 0.00 μB per formula unit

Structure (CIF):
```
data_V6Ga5Si
_cell_length_a 3.774
_cell_length_b 8.719
_cell_length_c 7.092
_cell_angle_alpha 52.07
_cell_angle_beta 74.58
_cell_angle_gamma 64.37
_symmetry_space_group_name_H-M 'P 1'
_symmetry_Int_Tables_number 1
loop_
_symmetry_equiv_pos_as_xyz
'x,y,z'
loop_
_atom_site_label
_atom_site_fract_x
_atom_site_fract_y
_atom_site_fract_z
V1 0.754 0.083 0.326
V2 0.246 0.591 0.326
V3 0.256 0.244 0.000
V4 0.744 0.756 0.000
V5 0.754 0.409 0.674
V6 0.246 0.917 0.674
Ga1 0.500 0.169 0.662
Ga2 0.000 0.335 0.330
Ga3 0.500 0.500 0.000
Ga4 0.000 0.665 0.670
Ga5 0.500 0.831 0.338
Si1 0.000 0.000 0.000
```

---

A relaxed structure of KRh3Se. Source: the Alexandria database, functional PBE-GGA.

Results
Fermi-level density of states: 1.36 states/eV/atom
Raw formation energy: 209 kJ/mol of atoms
Total moment: 3.52 μB per formula unit
Offset from the most stable computed form: 1816 meV/atom

Structure (CIF):
```
data_KRh3Se
_cell_length_a 4.800
_cell_length_b 4.800
_cell_length_c 4.800
_cell_angle_alpha 90.00
_cell_angle_beta 90.00
_cell_angle_gamma 90.00
_symmetry_space_group_name_H-M 'P 1'
_symmetry_Int_Tables_number 1
loop_
_symmetry_equiv_pos_as_xyz
'x,y,z'
loop_
_atom_site_label
_atom_site_fract_x
_atom_site_fract_y
_atom_site_fract_z
K1 0.000 0.000 0.000
Rh1 0.000 0.500 0.000
Rh2 0.000 0.000 0.500
Rh3 0.500 0.000 0.000
Se1 0.500 0.500 0.500
```

---

A relaxed structure of Tb4Mn3Ga16. Source: the Alexandria database, functional PBE-GGA.

Results
Fermi-level density of states: 0.42 states/eV/atom
Total moment: 6.00 μB per formula unit
Energy: -4.53 eV per atom

Structure (CIF):
```
data_Tb4Mn3Ga16
_cell_length_a 6.085
_cell_length_b 6.085
_cell_length_c 11.317
_cell_angle_alpha 90.00
_cell_angle_beta 90.00
_cell_angle_gamma 90.00
_symmetry_space_group_name_H-M 'P 1'
_symmetry_Int_Tables_number 1
loop_
_symmetry_equiv_pos_as_xyz
'x,y,z'
loop_
_atom_site_label
_atom_site_fract_x
_atom_site_fract_y
_atom_site_fract_z
Tb1 0.500 0.000 0.810
Tb2 0.000 0.500 0.190
Tb3 0.000 0.500 0.810
Tb4 0.500 0.000 0.190
Mn1 0.000 0.500 0.500
Mn2 0.000 0.000 0.000
Mn3 0.500 0.000 0.500
Ga1 0.000 0.000 0.782
Ga2 0.284 0.284 0.000
Ga3 0.500 0.500 0.806
Ga4 0.716 0.284 0.000
Ga5 0.500 0.500 0.194
Ga6 0.716 0.716 0.000
Ga7 0.000 0.000 0.218
Ga8 0.751 0.751 0.620
Ga9 0.751 0.249 0.380
Ga10 0.249 0.249 0.620
Ga11 0.249 0.751 0.380
Ga12 0.284 0.716 0.000
Ga13 0.751 0.751 0.380
Ga14 0.751 0.249 0.620
Ga15 0.249 0.249 0.380
Ga16 0.249 0.751 0.620
```

---

A relaxed structure of CeNd2Mg. Source: the Alexandria database, functional PBE-GGA.

Results
Fermi-level density of states: 2.03 states/eV/atom
Total moment: 0.55 μB per formula unit
Offset from the most stable computed form: 59 meV/atom

Structure (CIF):
```
data_CeNd2Mg
_cell_length_a 3.676
_cell_length_b 5.749
_cell_length_c 5.749
_cell_angle_alpha 90.00
_cell_angle_beta 90.00
_cell_angle_gamma 90.00
_symmetry_space_group_name_H-M 'P 1'
_symmetry_Int_Tables_number 1
loop_
_symmetry_equiv_pos_as_xyz
'x,y,z'
loop_
_atom_site_label
_atom_site_fract_x
_atom_site_fract_y
_atom_site_fract_z
Mg1 0.500 0.000 0.000
Nd1 0.000 0.000 0.500
Nd2 0.000 0.500 0.000
Ce1 0.500 0.500 0.500
```